## ThAlCo (GGA-PBE)

Data for a relaxed ThAlCo crystal.

- VASP energy: -5.807 eV per atom

Cell: 8.188 8.188 3.122 Å, 90.00 90.00 120.00°
Last column: magnetic moment on the atom in μB.
Element x y z (fractional)
1 Th 0.000 0.302 0.000  0.05
2 Th 0.698 0.698 0.000  0.05
3 Th 0.302 0.000 0.000  0.05
4 Co 0.596 0.000 0.500  -0.78
5 Co 0.000 0.596 0.500  -0.80
6 Co 0.404 0.404 0.500  -0.76
7 Al 0.333 0.667 0.000  0.00
8 Al 0.667 0.333 0.000  0.00
9 Al 0.000 0.000 0.500  -0.01